Record 1
A relaxed CaPm2PaBi4 crystal. Source: Alexandria, functional PBE.

Cell and atoms, written as POSCAR:
```
CaPm2PaBi4
1.0
-0.721 4.224 1.532
-7.005 0.115 -3.613
-0.921 -2.811 7.317
Pm Bi Pa Ca
2 4 1 1
Direct
0.500 0.000 0.500
0.000 0.500 0.500
0.500 0.244 0.244
0.000 0.245 0.755
0.000 0.755 0.245
0.500 0.756 0.756
0.000 0.000 0.000
0.500 0.500 0.000
```

- space group = P2/m (10)
- crystal system = monoclinic
- DFT formation energy (kJ per mole of atoms) = -66.8
- raw total energy (eV/atom) = -5.26

Record 2
A relaxed HfNbCl3 crystal. Source: Alexandria, functional PBE.

Cell and atoms, written as POSCAR:
```
HfNbCl3
1.0
-3.197 -3.234 -1.984
2.256 -3.706 2.405
-3.050 0.648 3.859
Nb Cl Hf
1 3 1
Direct
0.000 0.000 0.000
0.500 0.000 0.000
0.000 0.500 0.000
0.000 0.000 0.500
0.500 0.500 0.500
```

- space group = Pm-3m (221)
- crystal system = cubic
- raw total energy (eV/atom) = -4.82
- formation energy without anion corrections (eV/atom) = 0.30
- energy above the most stable polymorph in this dataset (meV per atom) = 257

Record 3
A relaxed TaOs2Pt crystal. Source: Alexandria, functional PBE.

Cell and atoms, written as POSCAR:
```
TaOs2Pt
1.0
-0.574 -2.753 0.107
0.660 0.013 3.855
-5.437 1.170 0.927
Os Pt Ta
2 1 1
Direct
0.000 0.000 0.496
0.000 0.000 0.004
0.500 0.500 0.250
0.500 0.500 0.750
```

- space group = Pmmm (47)
- crystal system = orthorhombic
- DFT formation energy (kJ per mole of atoms) = -5.3
- raw total energy (eV/atom) = -10.14
- energy above the most stable polymorph in this dataset (meV per atom) = 308

Computed values of N(E_F) (unit: states/eV/cell) for the preceding records, in sequence: 5.6; 4.6; 3.8.